Entry 1:
Below is CeGdAgPt after structural relaxation, with properties calculated at the GGA-PBE level.

Cell and atoms, written as CIF:
```
data_CeGdAgPt
_chemical_formula_sum 'Ce4 Gd4 Ag4 Pt4'
_cell_length_a 7.228
_cell_length_b 7.228
_cell_length_c 7.228
_cell_angle_alpha 90.00
_cell_angle_beta 90.00
_cell_angle_gamma 90.00
_space_group_name_H-M_alt 'F -4 3 m'
_space_group_IT_number 216
_space_group_name_Hall 'F -4 2 3'
loop_
_atom_site_label
_atom_site_fract_x
_atom_site_fract_y
_atom_site_fract_z
_atom_site_occupancy
Ce1 0.000 0.000 0.000 1
Gd1 0.000 0.000 0.500 1
Ag1 0.250 0.250 0.750 1
Pt1 0.250 0.250 0.250 1
```

Output
Energy relative to the elements: -14.33 kcal/mol of atoms


Entry 2:
Below is CeGdAgRh after structural relaxation, with properties calculated at the GGA-PBE level.

Cell and atoms, written as CIF:
```
data_CeGdAgRh
_chemical_formula_sum 'Ce4 Gd4 Ag4 Rh4'
_cell_length_a 7.167
_cell_length_b 7.167
_cell_length_c 7.167
_cell_angle_alpha 90.00
_cell_angle_beta 90.00
_cell_angle_gamma 90.00
_space_group_name_H-M_alt 'F -4 3 m'
_space_group_IT_number 216
_space_group_name_Hall 'F -4 2 3'
loop_
_atom_site_label
_atom_site_fract_x
_atom_site_fract_y
_atom_site_fract_z
_atom_site_occupancy
Ce1 0.000 0.000 0.000 1
Gd1 0.000 0.000 0.500 1
Ag1 0.250 0.250 0.250 1
Rh1 0.250 0.250 0.750 1
```

Output
Energy relative to the elements: -9.64 kcal/mol of atoms


Entry 3:
Below is CeGdAgRu after structural relaxation, with properties calculated at the GGA-PBE level.

Cell and atoms, written as CIF:
```
data_CeGdAgRu
_chemical_formula_sum 'Ce4 Gd4 Ag4 Ru4'
_cell_length_a 7.121
_cell_length_b 7.121
_cell_length_c 7.121
_cell_angle_alpha 90.00
_cell_angle_beta 90.00
_cell_angle_gamma 90.00
_space_group_name_H-M_alt 'F -4 3 m'
_space_group_IT_number 216
_space_group_name_Hall 'F -4 2 3'
loop_
_atom_site_label
_atom_site_fract_x
_atom_site_fract_y
_atom_site_fract_z
_atom_site_occupancy
Ce1 0.000 0.000 0.000 1
Gd1 0.000 0.000 0.500 1
Ag1 0.250 0.250 0.750 1
Ru1 0.250 0.250 0.250 1
```

Output
Energy relative to the elements: -4.78 kcal/mol of atoms


Entry 4:
Below is CeGdAgSb after structural relaxation, with properties calculated at the GGA-PBE level.

Cell and atoms, written as CIF:
```
data_CeGdAgSb
_chemical_formula_sum 'Ce4 Gd4 Ag4 Sb4'
_cell_length_a 7.538
_cell_length_b 7.538
_cell_length_c 7.538
_cell_angle_alpha 90.00
_cell_angle_beta 90.00
_cell_angle_gamma 90.00
_space_group_name_H-M_alt 'F -4 3 m'
_space_group_IT_number 216
_space_group_name_Hall 'F -4 2 3'
loop_
_atom_site_label
_atom_site_fract_x
_atom_site_fract_y
_atom_site_fract_z
_atom_site_occupancy
Ce1 0.000 0.000 0.000 1
Gd1 0.000 0.000 0.500 1
Ag1 0.250 0.250 0.250 1
Sb1 0.250 0.250 0.750 1
```

Output
Energy relative to the elements, uncorrected: -0.55 eV/atom


Entry 5:
Below is CeGdScAg after structural relaxation, with properties calculated at the GGA-PBE level.

Cell and atoms, written as CIF:
```
data_CeGdScAg
_chemical_formula_sum 'Ce4 Gd4 Sc4 Ag4'
_cell_length_a 7.361
_cell_length_b 7.361
_cell_length_c 7.361
_cell_angle_alpha 90.00
_cell_angle_beta 90.00
_cell_angle_gamma 90.00
_space_group_name_H-M_alt 'F -4 3 m'
_space_group_IT_number 216
_space_group_name_Hall 'F -4 2 3'
loop_
_atom_site_label
_atom_site_fract_x
_atom_site_fract_y
_atom_site_fract_z
_atom_site_occupancy
Ce1 0.000 0.000 0.000 1
Gd1 0.250 0.250 0.250 1
Sc1 0.250 0.250 0.750 1
Ag1 0.000 0.000 0.500 1
```

Output
Energy relative to the elements: 2.46 kcal/mol of atoms


Entry 6:
Below is CeGdSiAg after structural relaxation, with properties calculated at the GGA-PBE level.

Cell and atoms, written as CIF:
```
data_CeGdSiAg
_chemical_formula_sum 'Ce4 Gd4 Si4 Ag4'
_cell_length_a 7.264
_cell_length_b 7.264
_cell_length_c 7.264
_cell_angle_alpha 90.00
_cell_angle_beta 90.00
_cell_angle_gamma 90.00
_space_group_name_H-M_alt 'F -4 3 m'
_space_group_IT_number 216
_space_group_name_Hall 'F -4 2 3'
loop_
_atom_site_label
_atom_site_fract_x
_atom_site_fract_y
_atom_site_fract_z
_atom_site_occupancy
Ce1 0.000 0.000 0.000 1
Gd1 0.000 0.000 0.500 1
Si1 0.250 0.250 0.750 1
Ag1 0.250 0.250 0.250 1
```

Output
Energy relative to the elements, uncorrected: -0.37 eV/atom


Entry 7:
Below is TbCeGdAg after structural relaxation, with properties calculated at the GGA-PBE level.

Cell and atoms, written as CIF:
```
data_TbCeGdAg
_chemical_formula_sum 'Tb4 Ce4 Gd4 Ag4'
_cell_length_a 7.544
_cell_length_b 7.544
_cell_length_c 7.544
_cell_angle_alpha 90.00
_cell_angle_beta 90.00
_cell_angle_gamma 90.00
_space_group_name_H-M_alt 'F -4 3 m'
_space_group_IT_number 216
_space_group_name_Hall 'F -4 2 3'
loop_
_atom_site_label
_atom_site_fract_x
_atom_site_fract_y
_atom_site_fract_z
_atom_site_occupancy
Tb1 0.000 0.000 0.000 1
Ce1 0.250 0.250 0.250 1
Gd1 0.000 0.000 0.500 1
Ag1 0.250 0.250 0.750 1
```

Output
Energy relative to the elements: 2.40 kcal/mol of atoms


Entry 8:
Below is CeGdTcAg after structural relaxation, with properties calculated at the GGA-PBE level.

Cell and atoms, written as CIF:
```
data_CeGdTcAg
_chemical_formula_sum 'Ce4 Gd4 Tc4 Ag4'
_cell_length_a 7.119
_cell_length_b 7.119
_cell_length_c 7.119
_cell_angle_alpha 90.00
_cell_angle_beta 90.00
_cell_angle_gamma 90.00
_space_group_name_H-M_alt 'F -4 3 m'
_space_group_IT_number 216
_space_group_name_Hall 'F -4 2 3'
loop_
_atom_site_label
_atom_site_fract_x
_atom_site_fract_y
_atom_site_fract_z
_atom_site_occupancy
Ce1 0.000 0.000 0.000 1
Gd1 0.000 0.000 0.500 1
Tc1 0.250 0.250 0.250 1
Ag1 0.250 0.250 0.750 1
```

Output
Energy relative to the elements: -0.96 kcal/mol of atoms